1.
Material: NaMgInPb
Method: DFT, GGA-PBE
State: optimized geometry

```
NaMgInPb
1.0
0.000 3.727 3.727
3.727 0.000 3.727
3.727 3.727 0.000
Na Mg In Pb
1 1 1 1
Direct
0.000 0.000 0.000 Na
0.500 0.500 0.500 Mg
0.250 0.250 0.250 In
0.750 0.750 0.750 Pb
```

The calculation puts the density of states at the Fermi level at 1.792 states/eV/f.u. The energy of formation comes out at -111 meV per atom.

---

2.
Material: Cs3CdCl5
Method: DFT, GGA-PBE
State: optimized geometry

```
Cs3CdCl5
1.0
-4.705 4.705 7.782
4.705 -4.705 7.782
4.705 4.705 -7.782
Cs Cd Cl
6 2 10
Direct
0.165 0.665 0.830 Cs
0.250 0.250 0.000 Cs
0.335 0.165 0.500 Cs
0.665 0.835 0.500 Cs
0.750 0.750 0.000 Cs
0.835 0.335 0.170 Cs
0.250 0.750 0.500 Cd
0.750 0.250 0.500 Cd
0.000 0.000 0.000 Cl
0.004 0.799 0.500 Cl
0.201 0.701 0.206 Cl
0.299 0.504 0.500 Cl
0.496 0.996 0.794 Cl
0.500 0.500 0.000 Cl
0.504 0.004 0.206 Cl
0.701 0.496 0.500 Cl
0.799 0.299 0.794 Cl
0.996 0.201 0.500 Cl
```

The raw formation energy is -1.71 eV per atom. The calculation puts the density of states at the Fermi level at 0.000 states/eV/f.u.